This record from Alexandria describes crystalline As2PBr at its relaxed geometry. The functional is PBE.

Calculated values
Excess energy over the best structure of this formula in the dataset, eV/atom: 0.274
Raw formation energy, eV/atom: 0.317
VASP energy, eV/atom: -3.778

a b c (Å): 6.945 6.945 6.466
angles (deg): 57.52 57.52 90.00
Fractional coordinates of all 8 atoms:
P 0.500 0.500 0.000
P 0.250 0.750 0.500
As 0.565 0.125 0.250
As 0.185 0.625 0.250
As 0.375 0.435 0.750
As 0.875 0.815 0.750
Br 0.000 0.000 0.000
Br 0.750 0.250 0.500


This record from Alexandria describes crystalline As2PBr at its relaxed geometry. The functional is PBE.

Calculated values
Excess energy over the best structure of this formula in the dataset, eV/atom: 0.287
Raw formation energy, eV/atom: 0.330
VASP energy, eV/atom: -3.765

a b c (Å): 7.825 7.825 7.825
angles (deg): 26.61 26.61 26.61
Fractional coordinates of all 4 atoms:
As 0.993 0.993 0.993
As 0.739 0.739 0.739
Br 0.504 0.504 0.504
P 0.264 0.264 0.264


This record from Alexandria describes crystalline As2P2Br at its relaxed geometry. The functional is PBE.

Calculated values
Excess energy over the best structure of this formula in the dataset, eV/atom: 0.076
Raw formation energy, eV/atom: 0.218
VASP energy, eV/atom: -4.140

a b c (Å): 4.403 4.403 6.450
angles (deg): 70.04 70.04 90.00
Fractional coordinates of all 5 atoms:
P 0.356 0.356 0.287
P 0.644 0.644 0.713
As 0.750 0.250 0.500
As 0.250 0.750 0.500
Br 0.000 0.000 0.000


This record from Alexandria describes crystalline As2PBr at its relaxed geometry. The functional is PBE.

Calculated values
Excess energy over the best structure of this formula in the dataset, eV/atom: 0.457
Raw formation energy, eV/atom: 0.500
VASP energy, eV/atom: -3.595

a b c (Å): 5.756 5.756 5.756
angles (deg): 146.44 127.57 63.71
Fractional coordinates of all 4 atoms:
As 0.057 0.057 0.000
As 0.443 0.443 0.000
Br 0.750 0.250 0.500
P 0.250 0.750 0.500


This record from Alexandria describes crystalline As2PBr at its relaxed geometry. The functional is PBE.

Calculated values
Excess energy over the best structure of this formula in the dataset, eV/atom: 0.694
Raw formation energy, eV/atom: 0.738
VASP energy, eV/atom: -3.358

a b c (Å): 3.198 5.424 4.606
angles (deg): 90.00 90.00 90.00
Fractional coordinates of all 4 atoms:
As 0.000 0.000 0.000
As 0.500 0.500 0.000
Br 0.500 0.000 0.500
P 0.000 0.500 0.500


This record from Alexandria describes crystalline As2PBr at its relaxed geometry. The functional is PBE.

Calculated values
Excess energy over the best structure of this formula in the dataset, eV/atom: 0.096
Raw formation energy, eV/atom: 0.140
VASP energy, eV/atom: -3.956

a b c (Å): 4.822 3.720 6.253
angles (deg): 69.37 90.00 90.00
Fractional coordinates of all 4 atoms:
As 0.000 0.011 0.936
As 0.500 0.171 0.134
Br 0.000 0.503 0.560
P 0.500 0.815 0.870